Entry 1:
First-principles (PBEsol) data for a relaxed La2Cu2I crystal, as listed in Alexandria via LeMat-Bulk.

The calculation puts the energy above the most stable polymorph in this dataset at 0.0 meV/atom. Its formation energy (no corrections) is -0.5871 eV/atom.

The space group is P-6m2 (No. 187) and the conventional cell measures 4.1926, 4.1926 and 8.5527 Å, with angles of 90.00, 90.00 and 120.00 degrees. The distinct sites, in fractional coordinates, are La at (0.0000, 0.0000, 0.2144), Cu at (0.3333, 0.6667, 0.0000), Cu at (0.6667, 0.3333, 0.0000) and I at (0.3333, 0.6667, 0.5000).

=====

Entry 2:
First-principles (PBEsol) data for a relaxed Mn3B7IO13 crystal, as listed in Alexandria via LeMat-Bulk.

Its formation energy (no corrections) is -2.1243 eV/atom.

The space group is F-43c (No. 219) and the conventional cell measures 12.2769, 12.2769 and 12.2769 Å, with angles of 90.00, 90.00 and 90.00 degrees. The distinct sites, in fractional coordinates, are Mn at (0.0000, 0.0000, 0.2500), B at (0.0000, 0.2500, 0.2500), B at (0.1706, 0.1706, 0.1706), I at (0.0000, 0.0000, 0.0000), O at (0.0702, 0.1552, 0.2289) and O at (0.2500, 0.2500, 0.2500).

=====

Entry 3:
First-principles (PBEsol) data for a relaxed Sr2MoSe crystal, as listed in Alexandria via LeMat-Bulk.

Its formation energy (no corrections) is 0.1351 eV/atom.

The space group is R-3m (No. 166, hexagonal axes) and the conventional cell measures 3.9698, 3.9698 and 25.7039 Å, with angles of 90.00, 90.00 and 120.00 degrees. The distinct sites, in fractional coordinates, are Sr at (0.0000, 0.0000, 0.2417), Mo at (0.0000, 0.0000, 0.0000) and Se at (0.0000, 0.0000, 0.5000).